Version w
A plane-wave DFT calculation with GGA-PBE was carried out for a relaxed structure of PmSmCuAu.

Unit cell a=5.137 b=5.137 c=5.137 alpha=60.00 beta=60.00 gamma=60.00
Fractional positions:
1 Pm 0.000 0.000 0.000
2 Sm 0.500 0.500 0.500
3 Cu 0.750 0.750 0.750
4 Au 0.250 0.250 0.250

Version x
A plane-wave DFT calculation with GGA-PBE was carried out for a relaxed structure of PmSmCuAu.

Unit cell a=4.640 b=5.799 c=5.799 alpha=39.25 beta=90.00 gamma=90.00
Fractional positions:
1 Pm 0.000 0.000 0.000
2 Sm 0.500 0.279 0.279
3 Cu 0.500 0.562 0.562
4 Au 0.000 0.716 0.716

On energetic grounds, version x is preferred over the next structure by 3.5 kJ/mol of atoms.

Version w
A plane-wave DFT calculation with GGA-PBE was carried out for a relaxed structure of PmTmCuAu.

Unit cell a=5.052 b=5.052 c=5.052 alpha=60.00 beta=60.00 gamma=60.00
Fractional positions:
1 Pm 0.000 0.000 0.000
2 Tm 0.500 0.500 0.500
3 Cu 0.250 0.250 0.250
4 Au 0.750 0.750 0.750

Version x
A plane-wave DFT calculation with GGA-PBE was carried out for a relaxed structure of PmTmCuAu.

Unit cell a=4.542 b=5.783 c=5.783 alpha=38.11 beta=90.00 gamma=90.00
Fractional positions:
1 Pm 0.000 0.000 0.000
2 Tm 0.500 0.279 0.279
3 Cu 0.500 0.563 0.563
4 Au 0.000 0.721 0.721

On energetic grounds, version x is preferred over the next structure by 2.4 kJ/mol of atoms.

Version w
A plane-wave DFT calculation with GGA-PBE was carried out for a relaxed structure of Pr8CuAu2.

Unit cell a=10.343 b=10.343 c=5.774 alpha=99.55 beta=99.55 gamma=140.55
Fractional positions:
1 Pr 0.000 0.000 0.000
2 Pr 0.107 0.496 0.122
3 Pr 0.120 0.887 0.492
4 Pr 0.496 0.107 0.122
5 Pr 0.497 0.744 0.778
6 Pr 0.548 0.548 0.210
7 Pr 0.744 0.497 0.778
8 Pr 0.887 0.120 0.492
9 Cu 0.340 0.340 0.583
10 Au 0.051 0.555 0.619
11 Au 0.555 0.051 0.619

Version x
A plane-wave DFT calculation with GGA-PBE was carried out for a relaxed structure of Pr8CuAu2.

Unit cell a=9.822 b=9.822 c=7.039 alpha=107.70 beta=107.70 gamma=31.12
Fractional positions:
1 Pr 0.023 0.023 0.286
2 Pr 0.202 0.202 0.839
3 Pr 0.333 0.333 0.501
4 Pr 0.410 0.410 0.036
5 Pr 0.590 0.590 0.964
6 Pr 0.667 0.667 0.499
7 Pr 0.798 0.798 0.161
8 Pr 0.977 0.977 0.714
9 Cu 0.500 0.500 0.500
10 Au 0.174 0.174 0.239
11 Au 0.826 0.826 0.761

On energetic grounds, version x is preferred over the next structure by 4.6 kJ/mol of atoms.

Version w
A plane-wave DFT calculation with GGA-PBE was carried out for a relaxed structure of PrCu2Au.

Unit cell a=5.289 b=5.289 c=5.289 alpha=49.85 beta=49.85 gamma=49.85
Fractional positions:
1 Pr 0.000 0.000 0.000
2 Cu 0.210 0.210 0.210
3 Cu 0.790 0.790 0.790
4 Au 0.500 0.500 0.500

Version x
A plane-wave DFT calculation with GGA-PBE was carried out for a relaxed structure of PrCu2Au.

Unit cell a=4.754 b=4.754 c=4.754 alpha=60.00 beta=60.00 gamma=60.00
Fractional positions:
1 Pr 0.000 0.000 0.000
2 Cu 0.250 0.250 0.250
3 Cu 0.750 0.750 0.750
4 Au 0.500 0.500 0.500

On energetic grounds, version w is preferred over the next structure by 6.0 kJ/mol of atoms.